# BaTbZnTe3 | the Open Quantum Materials Database | PBE | optimized geometry
# Raw total energy: -95.944 eV per cell
data_BaTbZnTe3
_cell_length_a 4.6504
_cell_length_b 14.8686
_cell_length_c 11.4755
_cell_angle_alpha 90.00
_cell_angle_beta 90.00
_cell_angle_gamma 90.00
_space_group_name_H-M_alt 'C m c m'
_space_group_IT_number 63
_space_group_name_Hall '-C 2c 2'
loop_
_atom_site_label
_atom_site_fract_x
_atom_site_fract_y
_atom_site_fract_z
Ba1 0.0000 0.2423 0.2500
Tb1 0.0000 0.0000 0.0000
Zn1 0.0000 0.4794 0.7500
Te1 0.0000 0.0757 0.7500
Te2 0.0000 0.3644 0.5625



# TaNb6W | the Open Quantum Materials Database | PBE | optimized geometry
# Raw total energy: -85.434 eV per cell
data_TaNb6W
_cell_length_a 4.6591
_cell_length_b 4.6591
_cell_length_c 6.5998
_cell_angle_alpha 90.00
_cell_angle_beta 90.00
_cell_angle_gamma 90.00
_space_group_name_H-M_alt 'P 4/m m m'
_space_group_IT_number 123
_space_group_name_Hall '-P 4 2'
loop_
_atom_site_label
_atom_site_fract_x
_atom_site_fract_y
_atom_site_fract_z
Ta1 0.0000 0.0000 0.0000
Nb1 0.0000 0.0000 0.5000
Nb2 0.0000 0.5000 0.2546
Nb3 0.5000 0.5000 0.0000
W1 0.5000 0.5000 0.5000



# CuTcHgB | the Open Quantum Materials Database | PBE | optimized geometry
# Energy above the most stable polymorph in this dataset: 0.00 kJ per mole of atoms
data_CuTcHgB
_cell_length_a 6.0438
_cell_length_b 6.0438
_cell_length_c 6.0438
_cell_angle_alpha 90.00
_cell_angle_beta 90.00
_cell_angle_gamma 90.00
_space_group_name_H-M_alt 'F -4 3 m'
_space_group_IT_number 216
_space_group_name_Hall 'F -4 2 3'
loop_
_atom_site_label
_atom_site_fract_x
_atom_site_fract_y
_atom_site_fract_z
Cu1 0.0000 0.0000 0.0000
Tc1 0.0000 0.0000 0.5000
Hg1 0.2500 0.2500 0.2500
B1 0.2500 0.2500 0.7500



# GdReGe | the Open Quantum Materials Database | PBE | optimized geometry
# Energy above the most stable polymorph in this dataset: 93.18 kJ per mole of atoms
data_GdReGe
_cell_length_a 6.6274
_cell_length_b 6.6274
_cell_length_c 6.6274
_cell_angle_alpha 90.00
_cell_angle_beta 90.00
_cell_angle_gamma 90.00
_space_group_name_H-M_alt 'F -4 3 m'
_space_group_IT_number 216
_space_group_name_Hall 'F -4 2 3'
loop_
_atom_site_label
_atom_site_fract_x
_atom_site_fract_y
_atom_site_fract_z
Gd1 0.0000 0.0000 0.0000
Re1 0.2500 0.2500 0.2500
Ge1 0.2500 0.2500 0.7500



# InCoGe | the Open Quantum Materials Database | PBE | optimized geometry
# Raw total energy: -57.282 eV per cell
data_InCoGe
_cell_length_a 5.9571
_cell_length_b 5.9571
_cell_length_c 5.9571
_cell_angle_alpha 90.00
_cell_angle_beta 90.00
_cell_angle_gamma 90.00
_space_group_name_H-M_alt 'F -4 3 m'
_space_group_IT_number 216
_space_group_name_Hall 'F -4 2 3'
loop_
_atom_site_label
_atom_site_fract_x
_atom_site_fract_y
_atom_site_fract_z
In1 0.0000 0.0000 0.0000
Co1 0.2500 0.2500 0.7500
Ge1 0.0000 0.0000 0.5000



# DyTmZn2Ir4 | the Open Quantum Materials Database | PBE | optimized geometry
# Raw total energy: -50.495 eV per cell
data_DyTmZn2Ir4
_cell_length_a 4.5578
_cell_length_b 4.5578
_cell_length_c 6.4774
_cell_angle_alpha 90.00
_cell_angle_beta 90.00
_cell_angle_gamma 90.00
_space_group_name_H-M_alt 'P 4/m m m'
_space_group_IT_number 123
_space_group_name_Hall '-P 4 2'
loop_
_atom_site_label
_atom_site_fract_x
_atom_site_fract_y
_atom_site_fract_z
Dy1 0.0000 0.0000 0.0000
Tm1 0.5000 0.5000 0.5000
Zn1 0.0000 0.0000 0.5000
Zn2 0.5000 0.5000 0.0000
Ir1 0.0000 0.5000 0.2530



# BIr3Pb | the Open Quantum Materials Database | PBE | optimized geometry
# Raw total energy: -71.682 eV per cell
data_BIr3Pb
_cell_length_a 5.9451
_cell_length_b 5.9451
_cell_length_c 4.3003
_cell_angle_alpha 90.00
_cell_angle_beta 90.00
_cell_angle_gamma 90.00
_space_group_name_H-M_alt 'P 4/m b m'
_space_group_IT_number 127
_space_group_name_Hall '-P 4 2ab'
loop_
_atom_site_label
_atom_site_fract_x
_atom_site_fract_y
_atom_site_fract_z
B1 0.0000 0.0000 0.0000
Ir1 0.0000 0.0000 0.5000
Ir2 0.2058 0.2942 0.0000
Pb1 0.0000 0.5000 0.5000



# GdDyNCl2 | the Open Quantum Materials Database | PBE | optimized geometry
# Raw total energy: -31.086 eV per cell
data_GdDyNCl2
_cell_length_a 3.6230
_cell_length_b 3.6230
_cell_length_c 10.0643
_cell_angle_alpha 90.00
_cell_angle_beta 90.00
_cell_angle_gamma 120.00
_space_group_name_H-M_alt 'P 3 m 1'
_space_group_IT_number 156
loop_
_space_group_symop_operation_xyz
'x,y,z'
'-y,x-y,z'
'-x+y,-x,z'
'-y,-x,z'
'-x+y,y,z'
'x,x-y,z'
loop_
_atom_site_label
_atom_site_fract_x
_atom_site_fract_y
_atom_site_fract_z
Gd1 0.0000 0.0000 0.0000
Dy1 0.3333 0.6667 0.2603
N1 0.6667 0.3333 0.1344
Cl1 0.0000 0.0000 0.4358
Cl2 0.3333 0.6667 0.8213



# NaCuTcSe3 | the Open Quantum Materials Database | PBE | optimized geometry
# Energy above the most stable polymorph in this dataset: 3.27 kJ per mole of atoms
data_NaCuTcSe3
_cell_length_a 3.6711
_cell_length_b 13.7131
_cell_length_c 9.7494
_cell_angle_alpha 90.00
_cell_angle_beta 90.00
_cell_angle_gamma 90.00
_space_group_name_H-M_alt 'C m c m'
_space_group_IT_number 63
_space_group_name_Hall '-C 2c 2'
loop_
_atom_site_label
_atom_site_fract_x
_atom_site_fract_y
_atom_site_fract_z
Na1 0.0000 0.2424 0.2500
Cu1 0.0000 0.4626 0.7500
Tc1 0.0000 0.0000 0.0000
Se1 0.0000 0.0776 0.7500
Se2 0.0000 0.3703 0.5424



# YCdInS3 | the Open Quantum Materials Database | PBE | optimized geometry
# Raw total energy: -115.373 eV per cell
data_YCdInS3
_cell_length_a 4.0736
_cell_length_b 14.0745
_cell_length_c 10.7506
_cell_angle_alpha 90.00
_cell_angle_beta 90.00
_cell_angle_gamma 90.00
_space_group_name_H-M_alt 'C m c m'
_space_group_IT_number 63
_space_group_name_Hall '-C 2c 2'
loop_
_atom_site_label
_atom_site_fract_x
_atom_site_fract_y
_atom_site_fract_z
Y1 0.0000 0.0000 0.0000
Cd1 0.0000 0.4396 0.2500
In1 0.0000 0.2766 0.7500
S1 0.0000 0.0604 0.2500
S2 0.0000 0.3695 0.0390



# GdDyAg2Sn2 | the Open Quantum Materials Database | PBE | optimized geometry
# Raw total energy: -26.550 eV per cell
data_GdDyAg2Sn2
_cell_length_a 4.7362
_cell_length_b 4.7362
_cell_length_c 7.3836
_cell_angle_alpha 90.00
_cell_angle_beta 90.00
_cell_angle_gamma 120.00
_space_group_name_H-M_alt 'P 3 m 1'
_space_group_IT_number 156
loop_
_space_group_symop_operation_xyz
'x,y,z'
'-y,x-y,z'
'-x+y,-x,z'
'-y,-x,z'
'-x+y,y,z'
'x,x-y,z'
loop_
_atom_site_label
_atom_site_fract_x
_atom_site_fract_y
_atom_site_fract_z
Gd1 0.0000 0.0000 0.0000
Dy1 0.0000 0.0000 0.5004
Ag1 0.3333 0.6667 0.1918
Ag2 0.6667 0.3333 0.6894
Sn1 0.3333 0.6667 0.7785
Sn2 0.6667 0.3333 0.2805



# FeAg2Mo | the Open Quantum Materials Database | PBE | optimized geometry
# Raw total energy: -89.622 eV per cell
data_FeAg2Mo
_cell_length_a 6.3193
_cell_length_b 6.3193
_cell_length_c 6.3193
_cell_angle_alpha 90.00
_cell_angle_beta 90.00
_cell_angle_gamma 90.00
_space_group_name_H-M_alt 'F -4 3 m'
_space_group_IT_number 216
_space_group_name_Hall 'F -4 2 3'
loop_
_atom_site_label
_atom_site_fract_x
_atom_site_fract_y
_atom_site_fract_z
Fe1 0.0000 0.0000 0.0000
Ag1 0.0000 0.0000 0.5000
Ag2 0.2500 0.2500 0.7500
Mo1 0.2500 0.2500 0.2500



# KPuCuTe3 | the Open Quantum Materials Database | PBE | optimized geometry
# Energy above the most stable polymorph in this dataset: 3.26 kJ per mole of atoms
data_KPuCuTe3
_cell_length_a 9.0033
_cell_length_b 4.3052
_cell_length_c 10.9855
_cell_angle_alpha 90.00
_cell_angle_beta 110.39
_cell_angle_gamma 90.00
_space_group_name_H-M_alt 'P 1 21/m 1'
_space_group_IT_number 11
loop_
_space_group_symop_operation_xyz
'x,y,z'
'-x,-y,-z'
'-x,y+1/2,-z'
'x,-y+1/2,z'
loop_
_atom_site_label
_atom_site_fract_x
_atom_site_fract_y
_atom_site_fract_z
K1 0.2335 0.2500 0.2073
Pu1 0.1952 0.7500 0.6577
Cu1 0.4211 0.2500 0.9025
Te1 0.0541 0.7500 0.3611
Te2 0.2733 0.7500 0.9494
Te3 0.4344 0.2500 0.6656



# ErTcPt | the Open Quantum Materials Database | PBE | optimized geometry
# Energy above the most stable polymorph in this dataset: 0.00 kJ per mole of atoms
data_ErTcPt
_cell_length_a 6.4072
_cell_length_b 6.4072
_cell_length_c 6.4072
_cell_angle_alpha 90.00
_cell_angle_beta 90.00
_cell_angle_gamma 90.00
_space_group_name_H-M_alt 'F -4 3 m'
_space_group_IT_number 216
_space_group_name_Hall 'F -4 2 3'
loop_
_atom_site_label
_atom_site_fract_x
_atom_site_fract_y
_atom_site_fract_z
Er1 0.0000 0.0000 0.0000
Tc1 0.0000 0.0000 0.5000
Pt1 0.2500 0.2500 0.2500



# Dy3Mg2CdPdPt2 | the Open Quantum Materials Database | PBE | optimized geometry
# Raw total energy: -85.994 eV per cell
data_Dy3Mg2CdPdPt2
_cell_length_a 3.9804
_cell_length_b 12.9371
_cell_length_c 7.5038
_cell_angle_alpha 90.00
_cell_angle_beta 90.00
_cell_angle_gamma 90.00
_space_group_name_H-M_alt 'A m m 2'
_space_group_IT_number 38
loop_
_space_group_symop_operation_xyz
'x,y,z'
'-x,-y,z'
'-x,y,z'
'x,-y,z'
'x,y+1/2,z+1/2'
'-x,-y+1/2,z+1/2'
'-x,y+1/2,z+1/2'
'x,-y+1/2,z+1/2'
loop_
_atom_site_label
_atom_site_fract_x
_atom_site_fract_y
_atom_site_fract_z
Dy1 0.0000 0.0000 0.0000
Dy2 0.0000 0.2028 0.3714
Mg1 0.5000 0.1241 0.7050
Cd1 0.5000 0.0000 0.3331
Pd1 0.0000 0.0000 0.5972
Pt1 0.5000 0.1711 0.0716



# RbPuTh | the Open Quantum Materials Database | PBE | optimized geometry
# Raw total energy: -72.364 eV per cell
data_RbPuTh
_cell_length_a 8.1636
_cell_length_b 8.1636
_cell_length_c 8.1636
_cell_angle_alpha 90.00
_cell_angle_beta 90.00
_cell_angle_gamma 90.00
_space_group_name_H-M_alt 'F -4 3 m'
_space_group_IT_number 216
_space_group_name_Hall 'F -4 2 3'
loop_
_atom_site_label
_atom_site_fract_x
_atom_site_fract_y
_atom_site_fract_z
Rb1 0.0000 0.0000 0.0000
Pu1 0.2500 0.2500 0.7500
Th1 0.0000 0.0000 0.5000



# CoH | the Open Quantum Materials Database | PBE | optimized geometry
# Raw total energy: -41.054 eV per cell
data_CoH
_cell_length_a 3.7975
_cell_length_b 3.7975
_cell_length_c 3.7975
_cell_angle_alpha 90.00
_cell_angle_beta 90.00
_cell_angle_gamma 90.00
_space_group_name_H-M_alt 'F -4 3 m'
_space_group_IT_number 216
_space_group_name_Hall 'F -4 2 3'
loop_
_atom_site_label
_atom_site_fract_x
_atom_site_fract_y
_atom_site_fract_z
Co1 0.0000 0.0000 0.0000
H1 0.2500 0.2500 0.7500



# HfBeSi | the Open Quantum Materials Database | PBE | optimized geometry
# Energy above the most stable polymorph in this dataset: 48.09 kJ per mole of atoms
data_HfBeSi
_cell_length_a 3.6725
_cell_length_b 3.6725
_cell_length_c 8.4589
_cell_angle_alpha 90.00
_cell_angle_beta 90.00
_cell_angle_gamma 120.00
_space_group_name_H-M_alt 'P 63 m c'
_space_group_IT_number 186
_space_group_name_Hall 'P 6c -2c'
loop_
_atom_site_label
_atom_site_fract_x
_atom_site_fract_y
_atom_site_fract_z
Hf1 0.3333 0.6667 0.0000
Be1 0.0000 0.0000 0.2361
Si1 0.3333 0.6667 0.3091



# Sm3GaCoSe7 | the Open Quantum Materials Database | PBE | optimized geometry
# Raw total energy: -128.545 eV per cell
data_Sm3GaCoSe7
_cell_length_a 10.1285
_cell_length_b 10.1285
_cell_length_c 6.5204
_cell_angle_alpha 90.00
_cell_angle_beta 90.00
_cell_angle_gamma 120.00
_space_group_name_H-M_alt 'P 63'
_space_group_IT_number 173
loop_
_space_group_symop_operation_xyz
'x,y,z'
'x-y,x,z+1/2'
'-y,x-y,z'
'-x,-y,z+1/2'
'-x+y,-x,z'
'y,-x+y,z+1/2'
loop_
_atom_site_label
_atom_site_fract_x
_atom_site_fract_y
_atom_site_fract_z
Sm1 0.1588 0.7857 0.0000
Ga1 0.3333 0.6667 0.4209
Co1 0.0000 0.0000 0.3370
Se1 0.0826 0.5203 0.2715
Se2 0.0969 0.8736 0.5911
Se3 0.3333 0.6667 0.7898



# LaTlAu2 | the Open Quantum Materials Database | PBE | optimized geometry
# Energy above the most stable polymorph in this dataset: 14.44 kJ per mole of atoms
data_LaTlAu2
_cell_length_a 5.1524
_cell_length_b 5.1524
_cell_length_c 8.8311
_cell_angle_alpha 90.00
_cell_angle_beta 90.00
_cell_angle_gamma 120.00
_space_group_name_H-M_alt 'P 63/m m c'
_space_group_IT_number 194
_space_group_name_Hall '-P 6c 2c'
loop_
_atom_site_label
_atom_site_fract_x
_atom_site_fract_y
_atom_site_fract_z
La1 0.0000 0.0000 0.0000
Tl1 0.3333 0.6667 0.2500
Au1 0.3333 0.6667 0.5955



# AgMoH6Pd | the Open Quantum Materials Database | PBE | optimized geometry
# Raw total energy: -133.856 eV per cell
data_AgMoH6Pd
_cell_length_a 6.4253
_cell_length_b 6.4253
_cell_length_c 6.4253
_cell_angle_alpha 90.00
_cell_angle_beta 90.00
_cell_angle_gamma 90.00
_space_group_name_H-M_alt 'F -4 3 m'
_space_group_IT_number 216
_space_group_name_Hall 'F -4 2 3'
loop_
_atom_site_label
_atom_site_fract_x
_atom_site_fract_y
_atom_site_fract_z
Ag1 0.0000 0.0000 0.0000
Mo1 0.2500 0.2500 0.7500
H1 0.0000 0.0000 0.2901
Pd1 0.2500 0.2500 0.2500



# HfZnFeNi | the Open Quantum Materials Database | PBE | optimized geometry
# Energy above the most stable polymorph in this dataset: 17.60 kJ per mole of atoms
data_HfZnFeNi
_cell_length_a 6.1416
_cell_length_b 6.1416
_cell_length_c 6.1416
_cell_angle_alpha 90.00
_cell_angle_beta 90.00
_cell_angle_gamma 90.00
_space_group_name_H-M_alt 'F -4 3 m'
_space_group_IT_number 216
_space_group_name_Hall 'F -4 2 3'
loop_
_atom_site_label
_atom_site_fract_x
_atom_site_fract_y
_atom_site_fract_z
Hf1 0.0000 0.0000 0.0000
Zn1 0.2500 0.2500 0.2500
Fe1 0.0000 0.0000 0.5000
Ni1 0.2500 0.2500 0.7500



# MgHgSO | the Open Quantum Materials Database | PBE | optimized geometry
# Energy above the most stable polymorph in this dataset: 12.56 kJ per mole of atoms
data_MgHgSO
_cell_length_a 6.3729
_cell_length_b 6.6733
_cell_length_c 6.9781
_cell_angle_alpha 90.00
_cell_angle_beta 90.00
_cell_angle_gamma 90.00
_space_group_name_H-M_alt 'P 21 21 21'
_space_group_IT_number 19
loop_
_space_group_symop_operation_xyz
'x,y,z'
'-x+1/2,-y,z+1/2'
'x+1/2,-y+1/2,-z'
'-x,y+1/2,-z+1/2'
loop_
_atom_site_label
_atom_site_fract_x
_atom_site_fract_y
_atom_site_fract_z
Mg1 0.1604 0.2341 0.0696
Hg1 0.0381 0.3310 0.5848
S1 0.0812 0.0468 0.3761
O1 0.0601 0.6520 0.6123



# TbSm2Cu4Ge4 | the Open Quantum Materials Database | PBE | optimized geometry
# Raw total energy: -108.569 eV per cell
data_TbSm2Cu4Ge4
_cell_length_a 4.2698
_cell_length_b 6.6773
_cell_length_c 14.1263
_cell_angle_alpha 90.00
_cell_angle_beta 90.00
_cell_angle_gamma 90.00
_space_group_name_H-M_alt 'I m m m'
_space_group_IT_number 71
_space_group_name_Hall '-I 2 2'
loop_
_atom_site_label
_atom_site_fract_x
_atom_site_fract_y
_atom_site_fract_z
Tb1 0.0000 0.0000 0.0000
Sm1 0.0000 0.5000 0.1313
Cu1 0.0000 0.3122 0.3323
Ge1 0.0000 0.0000 0.2157
Ge2 0.0000 0.1922 0.5000



# Pa2Si2Os | the Open Quantum Materials Database | PBE | optimized geometry
# Raw total energy: -88.637 eV per cell
data_Pa2Si2Os
_cell_length_a 3.7341
_cell_length_b 5.7614
_cell_length_c 8.8036
_cell_angle_alpha 90.00
_cell_angle_beta 90.00
_cell_angle_gamma 90.00
_space_group_name_H-M_alt 'I m m m'
_space_group_IT_number 71
_space_group_name_Hall '-I 2 2'
loop_
_atom_site_label
_atom_site_fract_x
_atom_site_fract_y
_atom_site_fract_z
Pa1 0.0000 0.0000 0.2268
Si1 0.0000 0.2905 0.5000
Os1 0.0000 0.5000 0.0000